Entry 1:
This record from Alexandria via LeMat-Bulk describes a relaxed structure of FeSb2TeC. The functional is GGA-PBE.

The structure in POSCAR format:
```
FeSb2TeC
1.0
4.767 0.000 0.000
0.000 4.767 0.000
0.000 0.000 5.103
Fe Sb Te C
1 2 1 1
Direct
0.000 0.000 0.000
0.000 0.500 0.000
0.500 0.000 0.000
0.000 0.000 0.500
0.500 0.500 0.500
```

The value obtained for the energy above the most stable polymorph in this dataset is 96 kJ/mol of formula units. Its formation energy from raw total energies is 1.5999 eV/atom.

=====

Entry 2:
This record from Alexandria via LeMat-Bulk describes a relaxed structure of Si5Pt4. The functional is GGA-PBE.

The structure in POSCAR format:
```
Si5Pt4
1.0
-4.020 4.020 2.079
4.020 -4.020 2.079
4.020 4.020 -2.079
Si Pt
5 4
Direct
0.000 0.000 0.000
0.328 0.328 0.656
0.328 0.672 0.000
0.672 0.328 0.000
0.672 0.672 0.344
0.000 0.307 0.307
0.000 0.693 0.693
0.307 0.000 0.307
0.693 0.000 0.693
```

The value obtained for the energy above the most stable polymorph in this dataset is 111 kJ/mol of formula units. Its formation energy from raw total energies is -0.0557 eV/atom.

=====

Entry 3:
This record from Alexandria via LeMat-Bulk describes a relaxed structure of Na3H7Ru. The functional is GGA-PBE.

The structure in POSCAR format:
```
Na3H7Ru
1.0
3.693 -3.797 0.000
3.693 3.797 0.000
-3.692 0.000 3.930
Na H Ru
3 7 1
Direct
0.000 0.000 0.000
0.237 0.736 0.500
0.736 0.237 0.500
0.172 0.417 0.999
0.263 0.263 0.565
0.330 0.751 0.001
0.417 0.172 0.999
0.696 0.696 0.437
0.706 0.706 0.004
0.751 0.330 0.001
0.478 0.478 0.001
```

The value obtained for the energy above the most stable polymorph in this dataset is 27 kJ/mol of formula units.

=====

Entry 4:
This record from Alexandria via LeMat-Bulk describes a relaxed structure of TbYGa. The functional is GGA-PBE.

The structure in POSCAR format:
```
TbYGa
1.0
-1.739 1.739 6.585
1.739 -1.739 6.585
1.739 1.739 -6.585
Tb Y Ga
1 1 1
Direct
0.000 0.000 0.000
0.710 0.710 0.000
0.355 0.355 0.000
```

The value obtained for the energy above the most stable polymorph in this dataset is 8 kJ/mol of formula units. As for the calculated formation energy: -0.384 eV/atom.

=====

Entry 5:
This record from Alexandria via LeMat-Bulk describes a relaxed structure of ErLuSnPd. The functional is GGA-PBE.

The structure in POSCAR format:
```
ErLuSnPd
1.0
0.000 3.596 3.596
3.596 0.000 3.596
3.596 3.596 0.000
Er Lu Sn Pd
1 1 1 1
Direct
0.000 0.000 0.000
0.500 0.500 0.500
0.250 0.250 0.250
0.750 0.750 0.750
```

As for the calculated formation energy: -0.745 eV/atom.

=====

Entry 6:
This record from Alexandria via LeMat-Bulk describes a relaxed structure of CoAg2OsSe. The functional is GGA-PBE.

The structure in POSCAR format:
```
CoAg2OsSe
1.0
4.838 0.000 0.000
0.000 4.838 0.000
0.000 0.000 4.253
Co Ag Os Se
1 2 1 1
Direct
0.000 0.000 0.000
0.000 0.500 0.500
0.500 0.000 0.500
0.500 0.500 0.000
0.000 0.000 0.500
```

Its formation energy from raw total energies is 1.4649 eV/atom.

=====

Entry 7:
This record from Alexandria via LeMat-Bulk describes a relaxed structure of La2AlFe2. The functional is GGA-PBE.

The structure in POSCAR format:
```
La2AlFe2
1.0
7.002 0.000 0.000
0.000 7.002 0.000
0.000 0.000 4.410
La Al Fe
4 2 4
Direct
0.186 0.314 0.000
0.314 0.814 0.000
0.686 0.186 0.000
0.814 0.686 0.000
0.000 0.000 0.500
0.500 0.500 0.500
0.115 0.615 0.500
0.385 0.115 0.500
0.615 0.885 0.500
0.885 0.385 0.500
```

As for the calculated formation energy: -0.035 eV/atom.

=====

Entry 8:
This record from Alexandria via LeMat-Bulk describes a relaxed structure of BeAgMo2. The functional is GGA-PBE.

The structure in POSCAR format:
```
BeAgMo2
1.0
2.698 0.000 0.000
0.000 2.698 0.000
0.000 0.000 7.858
Be Ag Mo
1 1 2
Direct
0.000 0.000 0.000
0.000 0.000 0.500
0.500 0.500 0.207
0.500 0.500 0.793
```

As for the calculated formation energy: 0.239 eV/atom.

=====

Entry 9:
This record from Alexandria via LeMat-Bulk describes a relaxed structure of Ta4OsPb. The functional is GGA-PBE.

The structure in POSCAR format:
```
Ta4OsPb
1.0
0.000 3.853 3.853
3.853 0.000 3.853
3.853 3.853 0.000
Ta Os Pb
4 1 1
Direct
0.125 0.125 0.125
0.125 0.125 0.624
0.125 0.624 0.125
0.624 0.125 0.125
0.750 0.750 0.750
0.500 0.500 0.500
```

As for the calculated formation energy: 0.557 eV/atom.

=====

Entry 10:
This record from Alexandria via LeMat-Bulk describes a relaxed structure of Zn12Ag5Au2. The functional is GGA-PBE.

The structure in POSCAR format:
```
Zn12Ag5Au2
1.0
6.160 -4.167 0.000
6.160 4.167 0.000
-0.143 0.000 6.073
Zn Ag Au
12 5 2
Direct
0.048 0.048 0.304
0.085 0.541 0.787
0.122 0.667 0.384
0.333 0.878 0.616
0.390 0.390 0.093
0.459 0.915 0.213
0.541 0.085 0.787
0.610 0.610 0.907
0.667 0.122 0.384
0.878 0.333 0.616
0.915 0.459 0.213
0.952 0.952 0.696
0.178 0.178 0.936
0.262 0.262 0.466
0.500 0.500 0.500
0.738 0.738 0.534
0.822 0.822 0.064
0.233 0.767 0.000
0.767 0.233 0.000
```

As for the calculated formation energy: -0.054 eV/atom.

=====

Entry 11:
This record from Alexandria via LeMat-Bulk describes a relaxed structure of ZnFePb4. The functional is GGA-PBE.

The structure in POSCAR format:
```
ZnFePb4
1.0
0.000 4.510 4.510
4.510 0.000 4.510
4.510 4.510 0.000
Zn Fe Pb
1 1 4
Direct
0.000 0.000 0.000
0.750 0.750 0.750
0.375 0.375 0.375
0.375 0.375 0.874
0.375 0.874 0.375
0.874 0.375 0.375
```

As for the calculated formation energy: 0.762 eV/atom.

=====

Entry 12:
This record from Alexandria via LeMat-Bulk describes a relaxed structure of Sc2ZnSe. The functional is GGA-PBE.

The structure in POSCAR format:
```
Sc2ZnSe
1.0
-1.705 1.790 7.017
1.705 -1.790 7.017
1.705 1.790 -7.017
Sc Zn Se
2 1 1
Direct
0.000 0.000 0.000
0.745 0.245 0.500
0.340 0.840 0.500
0.587 0.587 0.000
```

The value obtained for the energy above the most stable polymorph in this dataset is 103 kJ/mol of formula units. Its formation energy from raw total energies is -0.7063 eV/atom.

=====

Entry 13:
This record from Alexandria via LeMat-Bulk describes a relaxed structure of Ca3Zn2Cd2Hg4. The functional is GGA-PBE.

The structure in POSCAR format:
```
Ca3Zn2Cd2Hg4
1.0
4.809 0.000 0.000
-2.405 4.165 0.000
0.000 0.000 13.961
Ca Zn Cd Hg
3 2 2 4
Direct
0.000 0.000 0.000
0.000 0.000 0.260
0.000 0.000 0.740
0.333 0.667 0.134
0.667 0.333 0.866
0.333 0.667 0.571
0.667 0.333 0.429
0.333 0.667 0.360
0.333 0.667 0.874
0.667 0.333 0.126
0.667 0.333 0.640
```

As for the calculated formation energy: -0.310 eV/atom.

=====

Entry 14:
This record from Alexandria via LeMat-Bulk describes a relaxed structure of Nd6TlPd2. The functional is GGA-PBE.

The structure in POSCAR format:
```
Nd6TlPd2
1.0
-4.833 5.124 5.422
4.833 -5.124 5.422
4.833 5.124 -5.422
Nd Tl Pd
12 2 4
Direct
0.038 0.236 0.802
0.184 0.290 0.474
0.184 0.710 0.893
0.325 0.022 0.697
0.325 0.628 0.303
0.434 0.236 0.198
0.566 0.764 0.802
0.675 0.372 0.697
0.675 0.978 0.303
0.816 0.290 0.107
0.816 0.710 0.526
0.962 0.764 0.198
0.000 0.000 0.000
0.500 0.500 0.000
0.128 0.628 0.500
0.351 0.000 0.351
0.649 0.000 0.649
0.872 0.372 0.500
```

As for the calculated formation energy: -0.440 eV/atom.

=====

Entry 15:
This record from Alexandria via LeMat-Bulk describes a relaxed structure of ThSc5Cu6. The functional is GGA-PBE.

The structure in POSCAR format:
```
ThSc5Cu6
1.0
7.458 -3.281 0.000
7.458 3.281 0.000
-1.501 0.000 4.493
Th Sc Cu
1 5 6
Direct
0.000 0.000 0.000
0.169 0.169 0.670
0.332 0.332 0.330
0.500 0.500 0.000
0.668 0.668 0.670
0.831 0.831 0.330
0.089 0.566 0.824
0.277 0.723 0.500
0.434 0.911 0.176
0.566 0.089 0.824
0.723 0.277 0.500
0.911 0.434 0.176
```

As for the calculated formation energy: -0.218 eV/atom.

=====

Entry 16:
This record from Alexandria via LeMat-Bulk describes a relaxed structure of AcInN. The functional is GGA-PBE.

The structure in POSCAR format:
```
AcInN
1.0
4.011 0.000 0.000
-2.006 3.474 0.000
0.000 0.000 5.742
Ac In N
1 1 1
Direct
0.000 0.000 0.000
0.333 0.667 0.483
0.667 0.333 0.138
```

The value obtained for the energy above the most stable polymorph in this dataset is 56 kJ/mol of formula units. Its formation energy from raw total energies is -0.3464 eV/atom.

=====

Entry 17:
This record from Alexandria via LeMat-Bulk describes a relaxed structure of LaBeCl. The functional is GGA-PBE.

The structure in POSCAR format:
```
LaBeCl
1.0
3.945 0.000 0.000
-1.973 3.417 0.000
0.000 0.000 7.537
La Be Cl
1 1 1
Direct
0.000 0.000 0.000
0.667 0.333 0.247
0.333 0.667 0.757
```

The value obtained for the energy above the most stable polymorph in this dataset is 24 kJ/mol of formula units. Its formation energy from raw total energies is -0.2806 eV/atom.

=====

Entry 18:
This record from Alexandria via LeMat-Bulk describes a relaxed structure of La2Ti3O9. The functional is GGA-PBE.

The structure in POSCAR format:
```
La2Ti3O9
1.0
-4.575 4.575 4.575
4.575 -4.575 4.575
4.575 4.575 -4.575
La Ti O
4 6 18
Direct
0.000 0.000 0.599
0.000 0.599 0.000
0.401 0.401 0.401
0.599 0.000 0.000
0.155 0.500 0.655
0.345 0.845 0.500
0.500 0.345 0.845
0.500 0.655 0.155
0.655 0.155 0.500
0.845 0.500 0.345
0.000 0.358 0.358
0.000 0.642 0.642
0.035 0.740 0.349
0.260 0.295 0.609
0.295 0.609 0.260
0.314 0.705 0.965
0.349 0.035 0.740
0.358 0.000 0.358
0.358 0.358 0.000
0.391 0.686 0.651
0.609 0.260 0.295
0.642 0.000 0.642
0.642 0.642 0.000
0.651 0.391 0.686
0.686 0.651 0.391
0.705 0.965 0.314
0.740 0.349 0.035
0.965 0.314 0.705
```

The value obtained for the energy above the most stable polymorph in this dataset is 86 kJ/mol of formula units. Its formation energy from raw total energies is -3.1808 eV/atom.

=====

Entry 19:
This record from Alexandria via LeMat-Bulk describes a relaxed structure of RbSi3Pb. The functional is GGA-PBE.

The structure in POSCAR format:
```
RbSi3Pb
1.0
5.512 0.000 0.000
0.000 5.512 0.000
0.000 0.000 5.512
Rb Si Pb
1 3 1
Direct
0.000 0.000 0.000
0.000 0.500 0.500
0.500 0.000 0.500
0.500 0.500 0.000
0.500 0.500 0.500
```

The value obtained for the energy above the most stable polymorph in this dataset is 0 kJ/mol of formula units. Its formation energy from raw total energies is 1.1009 eV/atom.

=====

Entry 20:
This record from Alexandria via LeMat-Bulk describes a relaxed structure of SrInNF2. The functional is GGA-PBE.

The structure in POSCAR format:
```
SrInNF2
1.0
4.430 0.000 0.000
0.000 4.430 0.000
0.000 0.000 4.131
Sr In N F
1 1 1 2
Direct
0.000 0.000 0.000
0.500 0.500 0.500
0.500 0.500 0.000
0.000 0.500 0.500
0.500 0.000 0.500
```

The value obtained for the energy above the most stable polymorph in this dataset is 0 kJ/mol of formula units. Its formation energy from raw total energies is -1.6795 eV/atom.

=====

Entry 21:
This record from Alexandria via LeMat-Bulk describes a relaxed structure of V4GeP. The functional is GGA-PBE.

The structure in POSCAR format:
```
V4GeP
1.0
5.250 0.000 0.000
0.000 5.923 0.000
-1.252 0.000 5.848
V Ge P
8 2 2
Direct
0.100 0.134 0.391
0.100 0.366 0.891
0.386 0.652 0.320
0.386 0.848 0.820
0.614 0.152 0.180
0.614 0.348 0.680
0.900 0.634 0.109
0.900 0.866 0.609
0.000 0.000 0.000
0.000 0.500 0.500
0.500 0.000 0.500
0.500 0.500 0.000
```

The value obtained for the energy above the most stable polymorph in this dataset is 55 kJ/mol of formula units. As for the calculated formation energy: -0.011 eV/atom.

=====

Entry 22:
This record from Alexandria via LeMat-Bulk describes a relaxed structure of PrScAsO2. The functional is GGA-PBE.

The structure in POSCAR format:
```
PrScAsO2
1.0
1.975 -5.979 0.000
1.975 5.979 0.000
0.000 0.000 7.153
Pr Sc As O
2 2 2 4
Direct
0.228 0.772 0.750
0.772 0.228 0.250
0.500 0.500 0.000
0.500 0.500 0.500
0.048 0.952 0.250
0.952 0.048 0.750
0.334 0.666 0.055
0.334 0.666 0.445
0.666 0.334 0.555
0.666 0.334 0.945
```

Its formation energy from raw total energies is -2.3965 eV/atom.

=====

Entry 23:
This record from Alexandria via LeMat-Bulk describes a relaxed structure of Rb2TlHgCl5. The functional is GGA-PBE.

The structure in POSCAR format:
```
Rb2TlHgCl5
1.0
2.276 -9.347 0.000
2.276 9.347 0.000
0.000 0.000 15.122
Rb Tl Hg Cl
4 2 2 10
Direct
0.103 0.897 0.500
0.158 0.842 0.044
0.842 0.158 0.544
0.897 0.103 0.000
0.476 0.524 0.223
0.524 0.476 0.723
0.223 0.777 0.783
0.777 0.223 0.283
0.098 0.902 0.830
0.255 0.745 0.403
0.329 0.671 0.142
0.340 0.660 0.719
0.480 0.520 0.532
0.520 0.480 0.032
0.660 0.340 0.219
0.671 0.329 0.642
0.745 0.255 0.903
0.902 0.098 0.330
```

Its formation energy from raw total energies is -1.2670 eV/atom.